# Ir4Ru3Rh PBE relaxed
# DOS at the Fermi energy: 8.4 states/eV/f.u.
# calculated formation energy: 0.0825 eV per atom
# energy relative to the lowest polymorph listed for this composition: 82 meV/atom
data_Ir4Ru3Rh
_chemical_formula_sum 'Ir4 Ru3 Rh1'
_cell_length_a 2.712
_cell_length_b 3.911
_cell_length_c 10.994
_cell_angle_alpha 90.00
_cell_angle_beta 97.08
_cell_angle_gamma 90.00
_space_group_name_H-M_alt 'P 1'
_space_group_IT_number 1
loop_
_space_group_symop_operation_xyz
'x,y,z'
loop_
_atom_site_label
_atom_site_fract_x
_atom_site_fract_y
_atom_site_fract_z
_atom_site_occupancy
Ru1 0.032 0.312 0.064 1
Ir1 0.280 0.313 0.559 1
Ir2 0.595 0.813 0.191 1
Ir3 0.718 0.813 0.437 1
Rh1 0.475 0.812 0.950 1
Ru2 0.155 0.313 0.310 1
Ir4 0.400 0.312 0.800 1
Ru3 0.844 0.812 0.688 1